Entry 1:
Computed, not measured: a geometry-optimized NaLaPr2 structure at the PBE level of DFT.

Unit cell a=6.142 b=6.142 c=3.758 alpha=90.00 beta=90.00 gamma=90.00
Sites, in units of the cell vectors:
Na  0.000  0.000  0.000
La  0.500  0.500  0.000
Pr  0.000  0.500  0.500
Pr  0.500  0.000  0.500

Calculated values
Energy above the lowest structure with this stoichiometry = 89.5 meV/atom
Calculated volume = 141.8 Å³/f.u.
Total magnetic moment = 0.0 Bohr magnetons per cell
ρ = 5.20 Mg/m³



Entry 2:
Computed, not measured: a geometry-optimized Nd3DyHg structure at the PBE level of DFT.

Unit cell a=11.332 b=11.332 c=8.309 alpha=105.51 beta=105.51 gamma=18.44
Sites, in units of the cell vectors:
Nd  0.014  0.014  0.247
Nd  0.174  0.174  0.454
Nd  0.381  0.381  0.959
Nd  0.619  0.619  0.041
Nd  0.826  0.826  0.546
Nd  0.986  0.986  0.753
Dy  0.263  0.263  0.177
Dy  0.737  0.737  0.823
Hg  0.417  0.417  0.386
Hg  0.583  0.583  0.614

Calculated values
Energy above the lowest structure with this stoichiometry = 8.0 meV/atom
Calculated volume = 162.4 Å³/f.u.
Total magnetic moment = 0.0 Bohr magnetons per cell
ρ = 8.14 Mg/m³



Number 1: ΔH_f (0 K) 184 meV/atom. Number 2: ΔH_f (0 K) -81 meV/atom.